1.
Here is a relaxed Ca2TlIn crystal from the Alexandria database. Energies are from GGA-PBE.

Cell lengths 10.414, 3.605, 6.727 Å; angles 90.00, 99.47, 90.00 degrees
Space group C2/m (No. 12)
Unique sites:
Ca (0.249, 0.000, 0.249) x4
Tl (0.000, 0.000, 0.500) x2
In (0.000, 0.500, 0.000) x2

## Properties
ΔH_f (0 K) in eV/atom: -0.2875
Crystal system: monoclinic
Electronic total energy in eV per atom: -2.564


2.
Here is a relaxed Nd8Tl5In crystal from the Alexandria database. Energies are from GGA-PBE.

Cell lengths 9.632, 9.632, 9.614 Å; angles 90.00, 90.00, 90.00 degrees
Space group I-4 (No. 82)
Unique sites:
Nd (0.073, 0.176, 0.301) x8
Nd (0.075, 0.324, 0.950) x8
Tl (0.000, 0.000, 0.000) x2
Tl (0.125, 0.251, 0.625) x8
In (0.000, 0.500, 0.250) x2

## Properties
ΔH_f (0 K) in eV/atom: -0.2966
Crystal system: tetragonal
Electronic total energy in eV per atom: -4.062


Q: Look up the ΔH_f (0 K) of the second one.
A: -0.2966 eV/atom